# RbVSb2F, relaxed, DFT GGA+U
# M_tot ... 0.042 μB/atom
# DFT total energy ... -3.94 eV per atom
# DOS at the Fermi energy ... 0.548 states/eV/atom
data_RbVSb2F
_chemical_formula_sum 'Rb1 V1 Sb2 F1'
_cell_length_a 5.5340
_cell_length_b 5.5340
_cell_length_c 4.0623
_cell_angle_alpha 90.00
_cell_angle_beta 90.00
_cell_angle_gamma 90.00
_symmetry_space_group_name_H-M 'P 4/m m m'
_symmetry_Int_Tables_number 123
_symmetry_space_group_name_Hall '-P 4 2'
loop_
_atom_site_label
_atom_site_fract_x
_atom_site_fract_y
_atom_site_fract_z
_atom_site_occupancy
Rb1 0.0000 0.0000 0.0000 1
V1 0.5000 0.5000 0.5000 1
Sb1 0.0000 0.5000 0.5000 1
F1 0.5000 0.5000 0.0000 1